Here is a relaxed structure of LaNiPd2 from Alexandria via LeMat-Bulk. Energies are from GGA-PBE.

```
LaNiPd2
1.0
6.703 0.000 0.000
0.000 6.703 0.000
0.000 0.000 6.703
La Ni Pd
4 4 8
Direct
0.000 0.000 0.000
0.000 0.500 0.500
0.500 0.000 0.500
0.500 0.500 0.000
0.000 0.000 0.500
0.000 0.500 0.000
0.500 0.000 0.000
0.500 0.500 0.500
0.250 0.250 0.250
0.250 0.250 0.750
0.250 0.750 0.250
0.250 0.750 0.750
0.750 0.250 0.250
0.750 0.250 0.750
0.750 0.750 0.250
0.750 0.750 0.750
```

N(E_F) ... 2.51 states/eV/f.u.
Magnetization ... 0.0000 μB per atom
Formation energy ... -0.3483 eV/atom

---

Here is a relaxed structure of Rb2NaBr from Alexandria via LeMat-Bulk. Energies are from GGA-PBE.

```
Rb2NaBr
1.0
6.433 0.000 0.000
0.000 6.433 0.000
0.000 0.000 4.602
Rb Na Br
2 1 1
Direct
0.000 0.500 0.000
0.500 0.000 0.000
0.000 0.000 0.500
0.500 0.500 0.500
```

Formation energy (no corrections) ... -265 kJ/mol of formula units
N(E_F) ... 1.10 states/eV/f.u.
ΔE to the lowest computed polymorph ... 9.8 kJ/mol of atoms
Magnetization ... 0.0000 μB per atom

---

Here is a relaxed structure of NiSb2TeRh from Alexandria via LeMat-Bulk. Energies are from GGA-PBE.

```
NiSb2TeRh
1.0
5.004 0.000 0.000
0.000 5.004 0.000
0.000 0.000 5.430
Ni Sb Te Rh
1 2 1 1
Direct
0.000 0.000 0.000
0.000 0.500 0.500
0.500 0.000 0.500
0.500 0.500 0.000
0.500 0.500 0.500
```

Formation energy (no corrections) ... 342 kJ/mol of formula units
N(E_F) ... 4.95 states/eV/f.u.
ΔE to the lowest computed polymorph ... 14.2 kJ/mol of atoms
Magnetization ... 0.1183 μB per atom

---

Q: The lowest N(E_F) belongs to which entry?
A: Rb2NaBr

---

What did the third record say?
Here is a relaxed structure of NiSb2TeRh from Alexandria via LeMat-Bulk. Energies are from GGA-PBE.

```
NiSb2TeRh
1.0
5.004 0.000 0.000
0.000 5.004 0.000
0.000 0.000 5.430
Ni Sb Te Rh
1 2 1 1
Direct
0.000 0.000 0.000
0.000 0.500 0.500
0.500 0.000 0.500
0.500 0.500 0.000
0.500 0.500 0.500
```

Formation energy (no corrections) ... 342 kJ/mol of formula units
N(E_F) ... 4.95 states/eV/f.u.
ΔE to the lowest computed polymorph ... 14.2 kJ/mol of atoms
Magnetization ... 0.1183 μB per atom